Below is a relaxed CaPb2Se crystal, with properties calculated at the GGA-PBE level.

Calculated total energy ... -3.719 eV/atom
DOS at the Fermi energy ... 2.88 states/eV per cell
Magnetic moment ... 0.00 μB/cell
Volume ... 114.65 Å³/cell
Space-group type ... Imm2

extended XYZ file:
```
4
Lattice="6.413 0.123 0.015 2.810 5.765 -0.015 -3.982 -3.930 3.136" Properties=species:S:1:pos:R:3 pbc="T T T"
Pb 0.056 0.036 0.000
Pb 3.305 -0.570 1.576
Ca 2.020 2.581 1.560
Se 4.471 2.855 0.000
```